Li6Sn2Sb, optimized geometry, DFT PBE; total magnetic moment = 0.0 μB/f.u.; electronic total energy = -3.0241 eV per atom; E above lowest polymorph = 0.0000 eV per atom; theoretical density = 3.92 g/cm3; space group = C2/m, No. 12; formation energy (no corrections) = -0.4006 eV/atom
1.0
3.808 -4.029 0.000
3.808 4.029 0.000
-0.439 0.000 5.537
Li Sn Sb
6 2 1
Direct
0.167 0.500 0.333
0.167 0.833 0.000
0.500 0.167 0.333
0.500 0.833 0.667
0.833 0.167 0.000
0.833 0.500 0.667
0.335 0.335 0.835
0.665 0.665 0.165
0.000 0.000 0.500